1.
An optimized crystal structure of LaSm3Cd2. Source: Alexandria via LeMat-Bulk, functional PBE-GGA.

Values from the calculation:
- calculated formation energy (meV/atom) = -207
- Fermi-level density of states (states/eV per atom) = 1.253
- calculated volume (Å³/atom) = 30.25
- size of the total moment (μB/f.u.) = 0.23
- space-group type = P4/mmm (123)

abc: 3.7618 3.7618 12.8252
angles: 90.00 90.00 90.00
Fractional positions:
La1 0.0000 0.0000 0.0000
Sm1 0.5000 0.5000 0.1974
Sm2 0.5000 0.5000 0.5000
Sm3 0.5000 0.5000 0.8026
Cd1 0.0000 0.0000 0.3478
Cd2 0.0000 0.0000 0.6522

2.
An optimized crystal structure of La2Sm3Cd3. Source: Alexandria via LeMat-Bulk, functional PBE-GGA.

Values from the calculation:
- energy above the lowest structure with this stoichiometry (meV per atom) = 0
- calculated formation energy (meV/atom) = -220
- Fermi-level density of states (states/eV per atom) = 1.403
- calculated volume (Å³/atom) = 30.29
- size of the total moment (μB/f.u.) = 0.00
- space-group type = Immm (71)

abc: 3.8834 5.4688 22.8200
angles: 90.00 90.00 90.00
Fractional positions:
La1 0.0000 0.0000 0.2323
La2 0.0000 0.0000 0.7677
La3 0.5000 0.5000 0.2677
La4 0.5000 0.5000 0.7323
Sm1 0.0000 0.0000 0.0000
Sm2 0.0000 0.5000 0.1193
Sm3 0.0000 0.5000 0.8807
Sm4 0.5000 0.0000 0.3807
Sm5 0.5000 0.0000 0.6193
Sm6 0.5000 0.5000 0.5000
Cd1 0.0000 0.0000 0.5000
Cd2 0.0000 0.5000 0.3864
Cd3 0.0000 0.5000 0.6136
Cd4 0.5000 0.0000 0.1136
Cd5 0.5000 0.0000 0.8864
Cd6 0.5000 0.5000 0.0000